Entry 1:
The following is a PBE calculation of a relaxed La2SmHo5 crystal, from Alexandria via LeMat-Bulk.

abc: 7.1711 14.3483 5.1127
angles: 90.00 90.00 90.00
Closest atoms and distances in Å follow each position.
Positions (direct):
1 La 0.2464 0.1258 0.0000  10 Ho 3.58-3.60, 2 Sm 3.62
2 La 0.2536 0.6258 0.0000  10 Ho 3.58-3.60, 2 Sm 3.62
3 La 0.7464 0.3742 0.0000  10 Ho 3.58-3.60, 2 Sm 3.62
4 La 0.7536 0.8742 0.0000  10 Ho 3.58-3.60, 2 Sm 3.62
5 Sm 0.0000 0.5000 0.5000  8 Ho 3.59-3.60, 4 La 3.62
6 Sm 0.5000 0.0000 0.5000  8 Ho 3.59-3.60, 4 La 3.62
7 Ho 0.0000 0.0000 0.5000  6 Ho 3.58-3.61, 2 Sm 3.59, 4 La 3.59
8 Ho 0.0045 0.7506 0.5000  7 Ho 3.58-3.61, 4 La 3.59-3.60, 1 Sm 3.60
9 Ho 0.2462 0.3752 0.0000  4 La 3.58-3.60, 2 Sm 3.59, 6 Ho 3.60-3.61
10 Ho 0.2538 0.8752 0.0000  4 La 3.58-3.60, 2 Sm 3.59, 6 Ho 3.60-3.61
11 Ho 0.4955 0.2506 0.5000  7 Ho 3.58-3.61, 4 La 3.59-3.60, 1 Sm 3.60
12 Ho 0.5000 0.5000 0.5000  6 Ho 3.58-3.61, 2 Sm 3.59, 4 La 3.59
13 Ho 0.5045 0.7494 0.5000  7 Ho 3.58-3.61, 4 La 3.59-3.60, 1 Sm 3.60
14 Ho 0.7462 0.1248 0.0000  4 La 3.58-3.60, 2 Sm 3.59, 6 Ho 3.60-3.61
15 Ho 0.7538 0.6248 0.0000  4 La 3.58-3.60, 2 Sm 3.59, 6 Ho 3.60-3.61
16 Ho 0.9955 0.2494 0.5000  7 Ho 3.58-3.61, 4 La 3.59-3.60, 1 Sm 3.60

Properties
**Mass density**: 7.91 g/cm³
**Energy of formation**: 31 meV per atom

---

Entry 2:
The following is a PBE calculation of a relaxed TaBiS3 crystal, from Alexandria via LeMat-Bulk.

abc: 5.0935 5.0935 5.0935
angles: 90.00 90.00 90.00
Closest atoms and distances in Å follow each position.
Positions (direct):
1 Ta 0.0000 0.0000 0.0000  12 S 3.60
2 Bi 0.5000 0.5000 0.5000  6 S 2.55
3 S 0.0000 0.5000 0.5000  2 Bi 2.55
4 S 0.5000 0.0000 0.5000  2 Bi 2.55
5 S 0.5000 0.5000 0.0000  2 Bi 2.55

Properties
**ΔE_f (raw)**: 1.22 eV/atom
**Mass density**: 6.11 g/cm³

---

Q: Which of these has the highest mass density?
A: La2SmHo5

---

Q: Which of these has the highest mass density?
A: La2SmHo5